1.
A plane-wave DFT calculation with PBE-GGA was carried out for an optimized crystal structure of BaSrZnPd.

## Properties
ΔH_f (0 K)	-0.452	eV/atom
Fermi-level density of states	1.85	states/eV/f.u.

a = 4.5205 Å, b = 4.5205 Å, c = 24.3868 Å
α = 90.00°, β = 90.00°, γ = 120.00°
Closest atoms and distances in Å follow each position.
Space group R3m (No. 160, hexagonal axes)
Symmetry-distinct sites (fractional):
Ba (0.0000, 0.0000, 0.0000) (multiplicity 3)  3 Zn 3.42, 3 Pd 3.42
Sr (0.0000, 0.0000, 0.8280) (multiplicity 3)  3 Pd 3.28, 3 Zn 3.28
Zn (0.0000, 0.0000, 0.2429) (multiplicity 3)  3 Pd 2.61
Pd (0.0000, 0.0000, 0.5762) (multiplicity 3)  3 Zn 2.61

---

2.
A plane-wave DFT calculation with PBE-GGA was carried out for an optimized crystal structure of MgScCd2.

## Properties
ΔH_f (0 K)	-0.120	eV/atom
Fermi-level density of states	3.09	states/eV/f.u.

a = 3.4287 Å, b = 5.0559 Å, c = 10.3038 Å
α = 90.00°, β = 90.00°, γ = 90.00°
Closest atoms and distances in Å follow each position.
Space group Imm2 (No. 44)
Symmetry-distinct sites (fractional):
Mg (0.0000, 0.0000, 0.0000) (multiplicity 2)  6 Cd 3.06-3.07, 2 Sc 3.23
Sc (0.0000, 0.5000, 0.2341) (multiplicity 2)  6 Cd 3.06-3.08, 2 Mg 3.23
Cd (0.0000, 0.0000, 0.4863) (multiplicity 2)  2 Cd 3.00, 4 Mg 3.06, 2 Sc 3.08
Cd (0.0000, 0.5000, 0.7470) (multiplicity 2)  2 Cd 3.00, 4 Sc 3.06, 2 Mg 3.07

---

3.
A plane-wave DFT calculation with PBE-GGA was carried out for an optimized crystal structure of AcBiPd6.

## Properties
ΔH_f (0 K)	-0.465	eV/atom
Fermi-level density of states	3.74	states/eV/f.u.

a = 4.2580 Å, b = 4.2580 Å, c = 8.3482 Å
α = 90.00°, β = 90.00°, γ = 90.00°
Closest atoms and distances in Å follow each position.
Space group P4/mmm (No. 123)
Symmetry-distinct sites (fractional):
Ac (0.0000, 0.0000, 0.0000) (multiplicity 1)  12 Pd 3.01-3.05
Bi (0.0000, 0.0000, 0.5000) (multiplicity 1)  12 Pd 2.91-3.01
Pd (0.0000, 0.5000, 0.2622) (multiplicity 4)  2 Bi 2.91, 8 Pd 2.91-3.05, 2 Ac 3.05
Pd (0.5000, 0.5000, 0.0000) (multiplicity 1)  4 Ac 3.01, 8 Pd 3.05
Pd (0.5000, 0.5000, 0.5000) (multiplicity 1)  8 Pd 2.91, 4 Bi 3.01

---

4.
A plane-wave DFT calculation with PBE-GGA was carried out for an optimized crystal structure of Hf4GeCN2.

## Properties
formation energy (no corrections)	-6.909	eV per formula unit
Fermi-level density of states	4.83	states/eV/f.u.

a = 5.8858 Å, b = 5.8858 Å, c = 7.3453 Å
α = 90.00°, β = 90.00°, γ = 90.00°
Closest atoms and distances in Å follow each position.
Space group I-42m (No. 121)
Symmetry-distinct sites (fractional):
Hf (0.2027, 0.2027, 0.3175) (multiplicity 8)  1 C 2.15, 2 N 2.18
Ge (0.0000, 0.0000, 0.0000) (multiplicity 2)  8 Hf 2.81-2.88
C (0.0000, 0.0000, 0.5000) (multiplicity 2)  4 Hf 2.15
N (0.0000, 0.5000, 0.2500) (multiplicity 4)  4 Hf 2.18

---

5.
A plane-wave DFT calculation with PBE-GGA was carried out for an optimized crystal structure of LiLaPbSe3.

## Properties
formation energy (no corrections)	-7.896	eV per formula unit
Fermi-level density of states	0.00	states/eV/f.u.

a = 8.9695 Å, b = 4.1470 Å, c = 9.1438 Å
α = 90.00°, β = 100.32°, γ = 90.00°
Closest atoms and distances in Å follow each position.
Space group P2_1/m (No. 11)
Symmetry-distinct sites (fractional):
Li (0.0924, 0.2500, 0.0890) (multiplicity 2)  4 Se 2.55-2.58
La (0.1662, 0.2500, 0.7209) (multiplicity 2)  7 Se 3.07-3.14
Pb (0.3444, 0.7500, 0.3311) (multiplicity 2)  6 Se 2.95-3.28
Se (0.0956, 0.2500, 0.3718) (multiplicity 2)  1 Li 2.58
Se (0.1964, 0.7500, 0.9760) (multiplicity 2)  3 Li 2.55-2.57
Se (0.3991, 0.7500, 0.6592) (multiplicity 2)  3 Pb 2.95-3.09, 2 La 3.07

---

6.
A plane-wave DFT calculation with PBE-GGA was carried out for an optimized crystal structure of K2UTe3.

## Properties
formation energy (no corrections)	-5.646	eV per formula unit
Fermi-level density of states	4.54	states/eV/f.u.

a = 8.0934 Å, b = 14.0255 Å, c = 8.6162 Å
α = 90.00°, β = 108.55°, γ = 90.00°
Closest atoms and distances in Å follow each position.
Space group C2/m (No. 12)
Symmetry-distinct sites (fractional):
K (0.0000, 0.0000, 0.0000) (multiplicity 2)  6 Te 3.44-3.46
K (0.0000, 0.1551, 0.5000) (multiplicity 4)  6 Te 3.45-3.73
K (0.0000, 0.5000, 0.5000) (multiplicity 2)  6 Te 3.40-3.69
U (0.0000, 0.3321, 0.0000) (multiplicity 4)  6 Te 3.09-3.10
Te (0.2026, 0.5000, 0.2096) (multiplicity 4)  2 U 3.10, 2 K 3.40-3.44
Te (0.2428, 0.3152, 0.7873) (multiplicity 8)  2 U 3.09, 1 K 3.45

---

7.
A plane-wave DFT calculation with PBE-GGA was carried out for an optimized crystal structure of YCu4Pd8.

## Properties
ΔH_f (0 K)	-0.318	eV/atom
Fermi-level density of states	11.88	states/eV/f.u.

a = 8.9453 Å, b = 8.9453 Å, c = 5.0064 Å
α = 90.00°, β = 90.00°, γ = 90.00°
Closest atoms and distances in Å follow each position.
Space group I4/mmm (No. 139)
Symmetry-distinct sites (fractional):
Y (0.0000, 0.0000, 0.0000) (multiplicity 2)  12 Pd 3.11-3.17, 8 Cu 3.40
Cu (0.2500, 0.2500, 0.2500) (multiplicity 8)  2 Cu 2.50, 8 Pd 2.58-2.71
Pd (0.0000, 0.2169, 0.5000) (multiplicity 8)  4 Cu 2.58, 6 Pd 2.74-2.88
Pd (0.0000, 0.3473, 0.0000) (multiplicity 8)  4 Cu 2.71, 5 Pd 2.73-2.88

---

8.
A plane-wave DFT calculation with PBE-GGA was carried out for an optimized crystal structure of Ru2RhCl.

## Properties
formation energy (no corrections)	4.244	eV per formula unit
Fermi-level density of states	0.74	states/eV/f.u.

a = 5.8811 Å, b = 5.8811 Å, c = 8.8022 Å
α = 90.00°, β = 90.00°, γ = 90.00°
Closest atoms and distances in Å follow each position.
Space group I-42d (No. 122)
Symmetry-distinct sites (fractional):
Ru (0.2343, 0.2500, 0.1250) (multiplicity 8)  2 Cl 2.30, 2 Rh 2.41
Rh (0.0000, 0.0000, 0.5000) (multiplicity 4)  4 Ru 2.41
Cl (0.0000, 0.0000, 0.0000) (multiplicity 4)  4 Ru 2.30

---

Magnetization list, top to bottom, in μB per formula unit: 0.000, 0.000, 0.000, 0.000, 0.000, 2.000, 0.000, 0.000
Density list, top to bottom, in g/cm³: 4.6, 5.5, 11.8, 10.8, 5.9, 5.0, 9.9, 7.4